Cs2AgAu PBE relaxed; density = 5462 kg/m3; total magnetic moment = 0.00 μB/f.u.; volume = 43.4 A^3/atom; DFT formation energy = -0.124 eV per atom
1.0
-5.783 1.087 2.136
-4.696 0.960 -4.028
-4.461 -4.336 -0.698
Cs Au Ag
2 1 1
direct
0.750 0.750 0.750
0.250 0.250 0.250
0.500 0.500 0.500
0.000 0.000 0.000



Cs2AgAu PBE relaxed; density = 4459 kg/m3; total magnetic moment = 0.00 μB/f.u.; volume = 53.1 A^3/atom; DFT formation energy = -0.101 eV per atom
1.0
-0.271 4.667 -2.308
-3.215 0.728 -4.039
-7.747 4.223 3.562
Ag Au Cs
1 1 2
direct
0.501 0.501 0.497
0.666 0.666 0.003
0.079 0.079 0.763
0.255 0.255 0.236



Cs8Ag2Au3 PBE relaxed; density = 4401 kg/m3; total magnetic moment = 1.66 μB/f.u.; volume = 54.3 A^3/atom; DFT formation energy = -0.129 eV per atom
1.0
-3.363 -4.806 -2.218
6.215 -6.965 5.670
-4.352 -1.524 9.902
Cs Au Ag
8 3 2
direct
0.000 0.624 0.623
0.000 0.884 0.884
0.500 0.637 0.122
0.500 0.363 0.878
0.000 0.376 0.377
0.500 0.122 0.638
0.500 0.878 0.362
0.000 0.116 0.116
0.500 0.000 0.000
0.000 0.742 0.258
0.000 0.258 0.742
0.500 0.747 0.747
0.500 0.253 0.253



Cs3Ag2Au PBE relaxed; density = 4911 kg/m3; total magnetic moment = 0.00 μB/f.u.; volume = 45.7 A^3/atom; DFT formation energy = -0.084 eV per atom
1.0
-5.125 0.224 -0.323
-0.248 -13.642 -5.526
-1.082 -5.413 13.412
Ag Cs Au
8 12 4
direct
0.250 0.816 0.958
0.750 0.316 0.542
0.250 0.684 0.458
0.250 0.476 0.786
0.750 0.184 0.042
0.750 0.976 0.714
0.750 0.524 0.214
0.250 0.024 0.286
0.250 0.709 0.211
0.250 0.450 0.387
0.750 0.550 0.613
0.750 0.950 0.113
0.750 0.291 0.789
0.250 0.791 0.711
0.250 0.050 0.887
0.250 0.122 0.557
0.750 0.209 0.289
0.750 0.622 0.943
0.250 0.378 0.057
0.750 0.878 0.443
0.750 0.638 0.378
0.250 0.138 0.122
0.750 0.862 0.878
0.250 0.362 0.622